Na2NbTcHg | PBE | relaxed

M_tot ... 0.0461 μB per atom
E_form ... 1.1993 eV/atom
SG ... P4/mmm (123)

Unit cell a=6.026 b=6.026 c=4.555 alpha=90.00 beta=90.00 gamma=90.00
Element x y z (fractional)
Na  0.000  0.500  0.000
Na  0.500  0.000  0.000
Nb  0.000  0.000  0.000
Tc  0.000  0.000  0.500
Hg  0.500  0.500  0.500


Na2Nd2Hg3 | PBE | relaxed

M_tot ... 0.0434 μB per atom
E_form ... -0.3321 eV/atom
SG ... Cmmm (65)

Unit cell a=14.702 b=14.702 c=3.768 alpha=90.00 beta=90.00 gamma=165.11
Element x y z (fractional)
Na  0.195  0.805  0.000
Na  0.805  0.195  0.000
Nd  0.067  0.933  0.000
Nd  0.933  0.067  0.000
Hg  0.368  0.632  0.500
Hg  0.500  0.500  0.500
Hg  0.632  0.368  0.500


NaNd2Hg4 | PBE | relaxed

M_tot ... 0.0000 μB per atom
Excess energy over the best structure of this formula in the dataset ... 228 meV/atom
E_form ... -0.0557 eV/atom
SG ... I4/mmm (139)

Unit cell a=8.728 b=8.728 c=8.728 alpha=144.44 beta=144.44 gamma=51.18
Element x y z (fractional)
Na  0.000  0.000  0.000
Nd  0.385  0.385  0.000
Nd  0.615  0.615  0.000
Hg  0.000  0.500  0.500
Hg  0.187  0.187  0.000
Hg  0.500  0.000  0.500
Hg  0.813  0.813  0.000


NaNd2Hg6 | PBE | relaxed

M_tot ... 0.0382 μB per atom
Excess energy over the best structure of this formula in the dataset ... 0 meV/atom
E_form ... -0.3456 eV/atom
SG ... P6/mmm (191)

Unit cell a=8.805 b=8.805 c=3.421 alpha=90.00 beta=90.00 gamma=120.00
Element x y z (fractional)
Na  0.000  0.000  0.000
Nd  0.333  0.667  0.000
Nd  0.667  0.333  0.000
Hg  0.000  0.331  0.500
Hg  0.000  0.669  0.500
Hg  0.331  0.000  0.500
Hg  0.331  0.331  0.500
Hg  0.669  0.000  0.500
Hg  0.669  0.669  0.500


NaNd2Hg4 | PBE | relaxed

M_tot ... 0.0000 μB per atom
Excess energy over the best structure of this formula in the dataset ... 0 meV/atom
E_form ... -0.2840 eV/atom
SG ... R-3m (166)

Unit cell a=9.032 b=9.032 c=9.032 alpha=33.48 beta=33.48 gamma=33.48
Element x y z (fractional)
Na  0.000  0.000  0.000
Nd  0.249  0.249  0.249
Nd  0.751  0.751  0.751
Hg  0.126  0.126  0.126
Hg  0.376  0.376  0.376
Hg  0.624  0.624  0.624
Hg  0.874  0.874  0.874


NaNd4Hg4 | PBE | relaxed

M_tot ... 0.0000 μB per atom
E_form ... -0.1907 eV/atom
SG ... P4_2/n (86)

Unit cell a=9.880 b=9.880 c=6.108 alpha=90.00 beta=90.00 gamma=90.00
Element x y z (fractional)
Na  0.250  0.250  0.250
Na  0.750  0.750  0.750
Nd  0.086  0.667  0.153
Nd  0.167  0.914  0.653
Nd  0.333  0.586  0.653
Nd  0.414  0.833  0.153
Nd  0.586  0.167  0.847
Nd  0.667  0.414  0.347
Nd  0.833  0.086  0.347
Nd  0.914  0.333  0.847
Hg  0.012  0.619  0.655
Hg  0.119  0.988  0.155
Hg  0.381  0.512  0.155
Hg  0.488  0.881  0.655
Hg  0.512  0.119  0.345
Hg  0.619  0.488  0.845
Hg  0.881  0.012  0.845
Hg  0.988  0.381  0.345